Compound: SrLaTc
Source: the Alexandria database
Functional: PBE
Structure: optimized geometry

Values from the calculation:
Theoretical density in Mg/m³: 6.456
D(E_F) in states/eV/cell: 3.34
Energy of formation from the pure elements in eV/atom: 0.468
Space-group type: P3m1, No. 156

Geometry as POSCAR:
```
SrLaTc
1.0
4.841 0.000 0.000
-2.421 4.192 0.000
0.000 0.000 4.113
Sr La Tc
1 1 1
Direct
0.667 0.333 0.334 Sr
0.000 0.000 0.834 La
0.333 0.667 0.833 Tc
```

=====

Compound: SrLaTc
Source: the Alexandria database
Functional: PBE
Structure: optimized geometry

Values from the calculation:
Theoretical density in Mg/m³: 5.999
D(E_F) in states/eV/cell: 3.61
Energy of formation from the pure elements in eV/atom: 0.595
Space-group type: F-43m, No. 216

Geometry as POSCAR:
```
SrLaTc
1.0
5.027 0.000 0.000
2.514 4.354 0.000
2.514 1.451 4.105
Tc La Sr
1 1 1
Direct
0.750 0.750 0.750 Tc
0.000 0.000 0.000 La
0.500 0.500 0.500 Sr
```

=====

Compound: SrLa2Tc2
Source: the Alexandria database
Functional: PBE
Structure: optimized geometry

Values from the calculation:
Theoretical density in Mg/m³: 6.435
D(E_F) in states/eV/cell: 14.69
Energy of formation from the pure elements in eV/atom: 0.343
Space-group type: P4/mbm, No. 127

Geometry as POSCAR:
```
SrLa2Tc2
1.0
8.453 0.000 0.000
0.000 8.453 0.000
0.000 0.000 4.056
Tc La Sr
4 4 2
Direct
0.595 0.095 0.000 Tc
0.095 0.405 0.000 Tc
0.405 0.905 0.000 Tc
0.905 0.595 0.000 Tc
0.829 0.329 0.500 La
0.671 0.829 0.500 La
0.171 0.671 0.500 La
0.329 0.171 0.500 La
0.500 0.500 0.000 Sr
0.000 0.000 0.000 Sr
```

=====

Compound: SrLaTc
Source: the Alexandria database
Functional: PBE
Structure: optimized geometry

Values from the calculation:
Theoretical density in Mg/m³: 5.954
D(E_F) in states/eV/cell: 3.88
Energy of formation from the pure elements in eV/atom: 0.373
Space-group type: I4mm, No. 107

Geometry as POSCAR:
```
SrLaTc
1.0
-4.323 4.426 3.971
-7.093 1.867 0.499
5.331 -5.034 -0.543
Tc Sr La
1 1 1
Direct
0.651 0.651 0.000 Tc
0.301 0.301 0.000 Sr
0.048 0.048 0.000 La
```

=====

Compound: SrLaTc
Source: the Alexandria database
Functional: PBE
Structure: optimized geometry

Values from the calculation:
Theoretical density in Mg/m³: 5.741
D(E_F) in states/eV/cell: 4.35
Energy of formation from the pure elements in eV/atom: 0.540
Space-group type: P3m1, No. 156

Geometry as POSCAR:
```
SrLaTc
1.0
-1.731 -0.185 3.297
2.806 -2.333 -0.767
5.073 5.131 2.952
Tc La Sr
1 1 1
Direct
0.333 0.667 0.687 Tc
0.000 0.000 0.920 La
0.667 0.333 0.393 Sr
```

=====

Compound: SrLaTc
Source: the Alexandria database
Functional: PBE
Structure: optimized geometry

Values from the calculation:
Theoretical density in Mg/m³: 5.884
D(E_F) in states/eV/cell: 4.62
Energy of formation from the pure elements in eV/atom: 0.380
Space-group type: Fmm2, No. 42

Geometry as POSCAR:
```
SrLaTc
1.0
-3.589 -3.116 -5.795
-1.260 -5.640 -4.615
-2.986 -1.519 1.401
Sr La Tc
1 1 1
Direct
0.300 0.300 0.700 Sr
0.049 0.049 0.951 La
0.651 0.651 0.349 Tc
```

=====

Compound: SrLa2TlTc
Source: the Alexandria database
Functional: PBE
Structure: optimized geometry

Values from the calculation:
Theoretical density in Mg/m³: 6.656
D(E_F) in states/eV/cell: 3.15
Energy of formation from the pure elements in eV/atom: -0.034
Space-group type: P4/mmm, No. 123

Geometry as POSCAR:
```
SrLa2TlTc
1.0
-3.815 0.204 3.843
-3.336 -2.871 -3.160
2.008 -4.808 2.248
Tc La Tl Sr
1 2 1 1
Direct
0.000 0.000 0.000 Tc
0.000 0.500 0.000 La
0.500 0.000 0.000 La
0.000 0.000 0.500 Tl
0.500 0.500 0.500 Sr
```

=====

Compound: SrLa2TlTc
Source: the Alexandria database
Functional: PBE
Structure: optimized geometry

Values from the calculation:
Theoretical density in Mg/m³: 6.407
D(E_F) in states/eV/cell: 7.29
Energy of formation from the pure elements in eV/atom: 0.024
Space-group type: P4/mmm, No. 123

Geometry as POSCAR:
```
SrLa2TlTc
1.0
5.359 0.000 0.000
0.000 5.359 0.000
0.000 0.000 6.027
Tc Tl Sr La
1 1 1 2
Direct
0.000 0.000 0.000 Tc
0.500 0.500 0.500 Tl
0.000 0.000 0.500 Sr
0.000 0.500 0.000 La
0.500 0.000 0.000 La
```

=====

Compound: SrLa2ZnTc
Source: the Alexandria database
Functional: PBE
Structure: optimized geometry

Values from the calculation:
Theoretical density in Mg/m³: 5.592
D(E_F) in states/eV/cell: 4.46
Energy of formation from the pure elements in eV/atom: 0.057
Space-group type: P4/mmm, No. 123

Geometry as POSCAR:
```
SrLa2ZnTc
1.0
-0.188 -3.578 4.050
2.458 -3.665 -3.125
4.780 1.721 1.742
Tc Zn Sr La
1 1 1 2
Direct
0.000 0.000 0.000 Tc
0.000 0.000 0.500 Zn
0.500 0.500 0.500 Sr
0.500 0.000 0.000 La
0.000 0.500 0.000 La
```

=====

Compound: Sr4La3Te8
Source: the Alexandria database
Functional: PBE
Structure: optimized geometry

Values from the calculation:
E_form (uncorrected) in eV/f.u.: -22.74
Theoretical density in Mg/m³: 4.712
D(E_F) in states/eV/cell: 5.51
Space-group type: R-3m, No. 166

Geometry as POSCAR:
```
Sr4La3Te8
1.0
-3.256 -5.354 6.797
5.829 -5.032 5.115
1.642 3.011 9.445
Te La Sr
8 3 4
Direct
0.767 0.767 0.699 Te
0.251 0.765 0.733 Te
0.749 0.749 0.267 Te
0.233 0.233 0.301 Te
0.235 0.749 0.267 Te
0.765 0.251 0.733 Te
0.749 0.235 0.267 Te
0.251 0.251 0.733 Te
0.000 0.000 0.500 La
0.500 0.000 0.500 La
0.000 0.500 0.500 La
0.354 0.354 0.937 Sr
0.646 0.646 0.063 Sr
0.500 0.500 0.500 Sr
0.000 0.000 0.000 Sr
```

=====

Compound: Sr2LaTe
Source: the Alexandria database
Functional: PBE
Structure: optimized geometry

Values from the calculation:
E_form (uncorrected) in eV/f.u.: -1.64
Theoretical density in Mg/m³: 4.755
D(E_F) in states/eV/cell: 4.67
Space-group type: Cmmm, No. 65

Geometry as POSCAR:
```
Sr2LaTe
1.0
6.370 0.020 0.000
-2.460 5.876 0.000
0.000 0.000 4.116
La Te Sr
1 1 2
Direct
0.000 0.500 0.500 La
0.500 0.000 0.500 Te
0.000 0.000 0.000 Sr
0.500 0.500 0.000 Sr
```

=====

Compound: Sr4LaTe
Source: the Alexandria database
Functional: PBE
Structure: optimized geometry

Values from the calculation:
E_form (uncorrected) in eV/f.u.: 0.92
Theoretical density in Mg/m³: 3.710
D(E_F) in states/eV/cell: 8.62
Space-group type: F-43m, No. 216

Geometry as POSCAR:
```
Sr4LaTe
1.0
5.939 -4.256 -0.200
-0.386 -6.676 -2.952
3.300 -1.373 -6.376
La Sr Te
1 4 1
Direct
0.000 0.000 0.000 La
0.877 0.374 0.374 Sr
0.374 0.374 0.374 Sr
0.374 0.877 0.374 Sr
0.374 0.374 0.877 Sr
0.750 0.750 0.750 Te
```